No. 1
Material: LiHoZr
Method: DFT, GGA-PBE
State: optimized geometry

a = 3.3317 Å, b = 3.3317 Å, c = 6.9726 Å
α = 103.82°, β = 103.82°, γ = 90.00°
Atoms (fractional coordinates):
Zr: 0.0032 0.0032 0.0065
Ho: 0.3372 0.3372 0.6744
Li: 0.6596 0.6596 0.3192

Output
* Fermi-level density of states: 1.102 states/eV/atom
* raw total energy: -4.874 eV per atom

No. 2
Material: LiHoZr
Method: DFT, GGA-PBE
State: optimized geometry

a = 3.3736 Å, b = 5.2208 Å, c = 9.7091 Å
α = 84.72°, β = 121.56°, γ = 90.04°
Atoms (fractional coordinates):
Li: 0.7957 0.6969 0.3629
Li: 0.2043 0.3031 0.6371
Ho: 0.8054 0.8013 0.7038
Zr: 0.1863 0.2578 0.9583
Ho: 0.1946 0.1987 0.2962
Zr: 0.8137 0.7422 0.0417

Output
* Fermi-level density of states: 0.977 states/eV/atom
* raw total energy: -4.912 eV per atom